<P>
Compound: GaTcI2N
Source: Alexandria
Functional: PBE
Structure: relaxed

POSCAR file:
```
GaTcI2N
1.0
-3.885 -0.392 -3.970
1.096 -4.968 -0.581
-3.807 -1.291 3.853
I Ga Tc N
2 1 1 1
Cartesian
-1.942 -0.196 -1.985 I
-1.904 -0.645 1.927 I
0.000 0.000 0.000 Ga
0.548 -2.484 -0.291 Tc
-3.298 -3.326 -0.349 N
```

Values from the calculation:
Space group: P4/mmm, No. 123
Size of the total moment in μB/f.u.: 4.8

***

<Q>
Compound: GaTcI2N
Source: Alexandria
Functional: PBE
Structure: relaxed

POSCAR file:
```
GaTcI2N
1.0
-0.398 0.788 5.623
-5.003 -2.714 0.026
1.787 -3.289 0.587
I Tc N Ga
2 1 1 1
Cartesian
-2.501 -1.357 0.013 I
-0.199 0.394 2.811 I
0.000 0.000 0.000 Tc
0.894 -1.645 0.294 N
-1.807 -2.608 3.118 Ga
```

Values from the calculation:
Space group: P4/mmm, No. 123
Size of the total moment in μB/f.u.: 0.2

***

Energies, relative to the best one, in eV/atom: <P> 1.819; <Q> 0.000.

***

<P>
Compound: TiGaIN2
Source: Alexandria
Functional: PBE
Structure: relaxed

POSCAR file:
```
TiGaIN2
1.0
-0.238 -3.886 0.400
0.886 -0.444 -3.786
5.437 -0.199 1.296
Ti N Ga I
1 2 1 1
Cartesian
3.043 -2.264 -1.045 Ti
-0.119 -1.943 0.200 N
0.443 -0.222 -1.893 N
0.000 0.000 0.000 Ga
2.719 -0.100 0.648 I
```

Values from the calculation:
Space group: P4/mmm, No. 123
Size of the total moment in μB/f.u.: 0.0

***

<Q>
Compound: TiGaIN2
Source: Alexandria
Functional: PBE
Structure: relaxed

POSCAR file:
```
TiGaIN2
1.0
-3.638 -1.064 -1.344
1.565 -0.774 -3.623
1.018 -5.528 1.621
Ti N I Ga
1 2 1 1
Cartesian
0.000 0.000 0.000 Ti
0.783 -0.387 -1.811 N
-1.819 -0.532 -0.672 N
0.509 -2.764 0.810 I
-0.527 -3.683 -1.673 Ga
```

Values from the calculation:
Space group: P4/mmm, No. 123
Size of the total moment in μB/f.u.: 0.0

***

Energies, relative to the best one, in eV/atom: <P> 0.882; <Q> 0.000.